# 1
This record from the Alexandria database describes crystalline Ho2TmSn at its relaxed geometry. The functional is PBE-GGA.

Computed properties:
ΔH_f (0 K) (eV per atom): -0.40
Total magnetization (Bohr magnetons per cell): 0.0
ΔE to the lowest computed polymorph (eV/f.u.): 0.000
Density of states at the Fermi level (states/eV per atom): 1.20

Cell lengths 4.775, 4.770, 4.770 Å; angles 90.00, 90.00, 90.00 degrees
Fractional coordinates of all 4 atoms:
Ho  0.000  0.500  0.000
Ho  0.000  0.000  0.500
Tm  0.500  0.500  0.500
Sn  0.500  0.000  0.000

---

# 2
This record from the Alexandria database describes crystalline HoTm3Sn at its relaxed geometry. The functional is PBE-GGA.

Computed properties:
ΔH_f (0 K) (eV per atom): 0.14
Total magnetization (Bohr magnetons per cell): 0.0
Density of states at the Fermi level (states/eV per atom): 1.20

Cell lengths 7.791, 7.791, 7.791 Å; angles 86.99, 114.57, 129.55 degrees
Fractional coordinates of all 10 atoms:
Sn  0.603  0.787  0.316
Sn  0.471  0.287  0.684
Tm  0.097  0.274  0.322
Tm  0.505  0.753  0.687
Tm  0.066  0.818  0.313
Tm  0.505  0.318  0.252
Tm  0.952  0.774  0.678
Tm  0.066  0.253  0.748
Ho  0.030  0.525  0.005
Ho  0.520  0.025  0.995

---

# 3
This record from the Alexandria database describes crystalline HoTmZnSn at its relaxed geometry. The functional is PBE-GGA.

Computed properties:
ΔH_f (0 K) (eV per atom): -0.47
Total magnetization (Bohr magnetons per cell): 0.0
Density of states at the Fermi level (states/eV per atom): 0.64

Cell lengths 5.140, 5.140, 5.140 Å; angles 60.00, 60.00, 60.00 degrees
Fractional coordinates of all 4 atoms:
Ho  0.000  0.000  0.000
Sn  0.250  0.250  0.250
Tm  0.500  0.500  0.500
Zn  0.750  0.750  0.750

---

# 4
This record from the Alexandria database describes crystalline HoUSn2 at its relaxed geometry. The functional is PBE-GGA.

Computed properties:
ΔH_f (0 K) (eV per atom): -0.23
Total magnetization (Bohr magnetons per cell): 3.1
ΔE to the lowest computed polymorph (eV/f.u.): 0.144
Density of states at the Fermi level (states/eV per atom): 1.66

Cell lengths 4.276, 4.941, 4.941 Å; angles 90.00, 90.00, 90.00 degrees
Fractional coordinates of all 4 atoms:
Sn  0.000  0.000  0.500
Sn  0.000  0.500  0.000
U  0.500  0.500  0.500
Ho  0.500  0.000  0.000

---

# 5
This record from the Alexandria database describes crystalline HoUSn at its relaxed geometry. The functional is PBE-GGA.

Computed properties:
ΔH_f (0 K) (eV per atom): -0.19
Total magnetization (Bohr magnetons per cell): 0.0
Density of states at the Fermi level (states/eV per atom): 1.56

Cell lengths 12.388, 12.388, 3.553 Å; angles 90.00, 90.00, 163.54 degrees
Fractional coordinates of all 6 atoms:
Sn  0.643  0.357  0.250
Sn  0.357  0.643  0.750
Ho  0.937  0.063  0.250
Ho  0.063  0.937  0.750
U  0.230  0.770  0.750
U  0.770  0.230  0.250

---

# 6
This record from the Alexandria database describes crystalline HoUSn2 at its relaxed geometry. The functional is PBE-GGA.

Computed properties:
ΔH_f (0 K) (eV per atom): -0.27
Total magnetization (Bohr magnetons per cell): 2.8
ΔE to the lowest computed polymorph (eV/f.u.): 0.000
Density of states at the Fermi level (states/eV per atom): 1.84

Cell lengths 3.356, 3.356, 9.092 Å; angles 90.00, 90.00, 90.00 degrees
Fractional coordinates of all 4 atoms:
Sn  0.000  0.000  0.253
Sn  0.000  0.000  0.747
U  0.500  0.500  0.000
Ho  0.500  0.500  0.500